VASP calculation (GGA+U) on a relaxed structure of V2SbHO6.

Properties
* SG: P1, No. 1
* total energy: -6.81 eV/atom
* total moment: 2.00 Bohr magnetons per cell

Unit cell a=5.550 b=5.618 c=5.424 alpha=60.04 beta=62.21 gamma=58.83
Each line ends with the local moment (μB).
Fractional coordinates of all 10 atoms:
V: 0.528 0.561 0.427  1.06
V: 0.005 0.025 0.968  1.08
Sb: 0.343 0.330 0.099  0.01
H: 0.993 0.527 0.689  0.00
O: 0.670 0.325 0.181  0.00
O: 0.218 0.844 0.212  -0.09
O: 0.761 0.751 0.240  -0.09
O: 0.274 0.733 0.758  0.00
O: 0.701 0.222 0.748  -0.03
O: 0.168 0.344 0.692  -0.01